Entry 1:
VASP calculation (PBE) on a relaxed Sr2CdHg16 crystal.

Structure (POSCAR):
```
Sr2CdHg16
1.0
8.134 0.521 1.498
1.338 8.040 1.498
0.577 0.521 8.251
Hg Sr Cd
16 2 1
direct
0.348 0.348 0.901
0.585 0.936 0.936
0.936 0.936 0.585
0.698 0.002 0.305
0.002 0.305 0.698
0.593 0.593 0.229
0.305 0.698 0.002
0.116 0.116 0.116
0.936 0.585 0.936
0.002 0.698 0.305
0.305 0.002 0.698
0.901 0.348 0.348
0.593 0.229 0.593
0.698 0.305 0.002
0.229 0.593 0.593
0.348 0.901 0.348
0.640 0.640 0.640
0.319 0.319 0.319
0.946 0.946 0.946
```

Summary:
Density of states at the Fermi level ... 6.63 states/eV/cell
ΔH_f (0 K) ... -0.170 eV/atom



Entry 2:
VASP calculation (PBE) on a relaxed Zn2SiIr crystal.

Structure (POSCAR):
```
Zn2SiIr
1.0
2.794 0.000 0.000
0.000 2.794 0.000
0.000 0.000 7.760
Zn Ir Si
2 1 1
direct
0.000 0.000 0.021
0.000 0.000 0.479
0.500 0.500 0.250
0.500 0.500 0.750
```

Summary:
Formation energy (no corrections) ... 0.132 eV/atom
Density of states at the Fermi level ... 1.87 states/eV/cell